Record 1
# YCoRh2

A geometry-optimized YCoRh2 structure (PBE, Alexandria via LeMat-Bulk).

The value obtained for the density of states at the Fermi level is 5.53 states/eV/f.u. Its calculated density is 9.01 g/cm³. Its formation energy from the elements is -0.71 eV per formula unit. For the uncorrected energy, the calculation gives -7.247 eV per atom.

The structure in CIF format:
```
data_YCoRh2
_chemical_formula_sum 'Y2 Co2 Rh4'
_cell_length_a 3.9992
_cell_length_b 3.9992
_cell_length_c 8.1541
_cell_angle_alpha 90.00
_cell_angle_beta 90.00
_cell_angle_gamma 90.00
_symmetry_space_group_name_H-M 'I -4 m 2'
_symmetry_Int_Tables_number 119
_symmetry_space_group_name_Hall 'I -4 -2'
loop_
_atom_site_label
_atom_site_type_symbol
_atom_site_fract_x
_atom_site_fract_y
_atom_site_fract_z
_atom_site_occupancy
Y1 Y 0.0000 0.0000 0.0000 1
Co1 Co 0.0000 0.5000 0.2500 1
Rh1 Rh 0.0000 0.0000 0.5000 1
Rh2 Rh 0.0000 0.5000 0.7500 1
```


Record 2
# Y5Co2Rh

A geometry-optimized Y5Co2Rh structure (PBE, Alexandria via LeMat-Bulk).

The value obtained for the density of states at the Fermi level is 7.09 states/eV/f.u. Its calculated density is 6.03 g/cm³. Its formation energy from the elements is -2.89 eV per formula unit. For the uncorrected energy, the calculation gives -7.097 eV per atom.

The structure in CIF format:
```
data_Y5Co2Rh
_chemical_formula_sum 'Y20 Co8 Rh4'
_cell_length_a 7.1434
_cell_length_b 7.1434
_cell_length_c 14.3550
_cell_angle_alpha 90.00
_cell_angle_beta 90.00
_cell_angle_gamma 90.00
_symmetry_space_group_name_H-M 'I 4/m c m'
_symmetry_Int_Tables_number 140
_symmetry_space_group_name_Hall '-I 4 2c'
loop_
_atom_site_label
_atom_site_type_symbol
_atom_site_fract_x
_atom_site_fract_y
_atom_site_fract_z
_atom_site_occupancy
Y1 Y 0.0000 0.0000 0.0000 1
Y2 Y 0.1771 0.3229 0.1418 1
Co1 Co 0.1111 0.3889 0.5000 1
Rh1 Rh 0.0000 0.0000 0.2500 1
```


Record 3
# Y6CoRh2

A geometry-optimized Y6CoRh2 structure (PBE, Alexandria via LeMat-Bulk).

The value obtained for the density of states at the Fermi level is 7.72 states/eV/f.u. Its calculated density is 5.78 g/cm³. Its formation energy from the elements is -4.15 eV per formula unit. For the uncorrected energy, the calculation gives -7.194 eV per atom.

The structure in CIF format:
```
data_Y6CoRh2
_chemical_formula_sum 'Y12 Co2 Rh4'
_cell_length_a 6.5008
_cell_length_b 7.3382
_cell_length_c 11.4554
_cell_angle_alpha 90.00
_cell_angle_beta 122.90
_cell_angle_gamma 90.00
_symmetry_space_group_name_H-M 'P 1 21/c 1'
_symmetry_Int_Tables_number 14
_symmetry_space_group_name_Hall '-P 2ybc'
loop_
_atom_site_label
_atom_site_type_symbol
_atom_site_fract_x
_atom_site_fract_y
_atom_site_fract_z
_atom_site_occupancy
Y1 Y 0.0991 0.0418 0.2475 1
Y2 Y 0.2333 0.6719 0.0703 1
Y3 Y 0.3944 0.1792 0.0644 1
Co1 Co 0.5000 0.0000 0.5000 1
Rh1 Rh 0.3130 0.1182 0.7654 1
```


Record 4
# YCo2Rh

A geometry-optimized YCo2Rh structure (PBE, Alexandria via LeMat-Bulk).

The value obtained for the density of states at the Fermi level is 7.87 states/eV/f.u. Its calculated density is 8.18 g/cm³. Its formation energy from the elements is 0.14 eV per formula unit. For the uncorrected energy, the calculation gives -6.972 eV per atom.

The structure in CIF format:
```
data_YCo2Rh
_chemical_formula_sum 'Y4 Co8 Rh4'
_cell_length_a 6.3109
_cell_length_b 6.3109
_cell_length_c 6.3109
_cell_angle_alpha 90.00
_cell_angle_beta 90.00
_cell_angle_gamma 90.00
_symmetry_space_group_name_H-M 'F -4 3 m'
_symmetry_Int_Tables_number 216
_symmetry_space_group_name_Hall 'F -4 2 3'
loop_
_atom_site_label
_atom_site_type_symbol
_atom_site_fract_x
_atom_site_fract_y
_atom_site_fract_z
_atom_site_occupancy
Y1 Y 0.0000 0.0000 0.0000 1
Co1 Co 0.0000 0.0000 0.5000 1
Co2 Co 0.2500 0.2500 0.2500 1
Rh1 Rh 0.2500 0.2500 0.7500 1
```